Compound: AgPI2N
Source: Alexandria
Functional: PBEsol
Structure: optimized geometry

Cell: 5.7667 5.7667 3.3395 Å, 90.00 90.00 90.00°
With the nearest neighbours (Å) after each atom.
Positions (direct):
Ag 0.0000 0.0000 0.0000  8 I 3.33, 2 Ag 3.34
P 0.5000 0.5000 0.5000  2 N 1.67
I 0.0000 0.5000 0.5000  2 P 2.88
I 0.5000 0.0000 0.5000  2 P 2.88
N 0.5000 0.5000 0.0000  2 P 1.67

Properties
SG ... P4/mmm (123)
E_form (uncorrected) ... 0.488 eV per atom



Compound: CdInP2
Source: Alexandria
Functional: PBEsol
Structure: optimized geometry

Cell: 3.7578 3.9123 5.3271 Å, 90.00 90.00 90.00°
With the nearest neighbours (Å) after each atom.
Positions (direct):
Cd 0.0000 0.0000 0.0000  4 P 2.71
In 0.0000 0.5000 0.5000  4 P 2.71
P 0.5000 0.0000 0.5000  4 In 2.71
P 0.5000 0.5000 0.0000  4 Cd 2.71

Properties
SG ... Pmmm (47)
Calculated formation energy ... 36.2 kJ per mole of atoms



Compound: HfZr3W
Source: Alexandria
Functional: PBEsol
Structure: optimized geometry

Cell: 4.9456 4.9456 4.9456 Å, 90.00 90.00 90.00°
With the nearest neighbours (Å) after each atom.
Positions (direct):
Hf 0.0000 0.0000 0.0000  6 Zr 2.47
Zr 0.0000 0.0000 0.5000  2 Hf 2.47
Zr 0.0000 0.5000 0.0000  2 Hf 2.47
Zr 0.5000 0.0000 0.0000  2 Hf 2.47
W 0.5000 0.5000 0.5000  12 Zr 3.50

Properties
SG ... Pm-3m (221)
Calculated formation energy ... 170.1 kJ per mole of atoms



Compound: NaPrSe2
Source: Alexandria
Functional: PBEsol
Structure: optimized geometry

Cell: 7.3156 7.3156 7.3156 Å, 33.84 33.84 33.84°
With the nearest neighbours (Å) after each atom.
Positions (direct):
Na 0.0000 0.0000 0.0000  6 Se 3.04
Pr 0.5000 0.5000 0.5000  6 Se 2.96
Se 0.2465 0.2465 0.2465  3 Pr 2.96, 3 Na 3.04
Se 0.7535 0.7535 0.7535  3 Pr 2.96, 3 Na 3.04

Properties
SG ... R-3m (166)
E_form (uncorrected) ... -1.655 eV per atom



Compound: HgSe
Source: Alexandria
Functional: PBEsol
Structure: optimized geometry

Cell: 2.7769 2.7769 12.6436 Å, 90.00 90.00 90.00°
With the nearest neighbours (Å) after each atom.
Positions (direct):
Hg 0.2500 0.2500 0.1265  4 Hg 2.78
Hg 0.7500 0.7500 0.8735  4 Hg 2.78
Se 0.2500 0.2500 0.6377  4 Se 2.78
Se 0.7500 0.7500 0.3623  4 Se 2.78

Properties
SG ... P4/nmm (129)
E_form (uncorrected) ... 0.166 eV per atom



Compound: SiPt2Au
Source: Alexandria
Functional: PBEsol
Structure: optimized geometry

Cell: 3.9790 3.9790 3.7883 Å, 90.00 90.00 90.00°
With the nearest neighbours (Å) after each atom.
Positions (direct):
Si 0.0000 0.0000 0.0000  8 Pt 2.75, 4 Au 2.81
Pt 0.0000 0.5000 0.5000  4 Si 2.75, 4 Au 2.75, 4 Pt 2.81
Pt 0.5000 0.0000 0.5000  4 Si 2.75, 4 Au 2.75, 4 Pt 2.81
Au 0.5000 0.5000 0.0000  8 Pt 2.75, 4 Si 2.81

Properties
SG ... P4/mmm (123)
E_form (uncorrected) ... -0.128 eV per atom



Compound: YMg2Cd
Source: Alexandria
Functional: PBEsol
Structure: optimized geometry

Cell: 3.4576 3.4576 7.8895 Å, 90.00 90.00 90.00°
With the nearest neighbours (Å) after each atom.
Positions (direct):
Y 0.0000 0.0000 0.0000  4 Cd 3.19, 4 Mg 3.32, 4 Y 3.46
Mg 0.0000 0.0000 0.4731  4 Cd 2.97, 4 Mg 3.10
Mg 0.5000 0.5000 0.7147  8 Mg 3.10-3.46, 4 Y 3.32
Cd 0.5000 0.5000 0.2592  4 Mg 2.97, 4 Y 3.19

Properties
SG ... P4mm (99)
Calculated formation energy ... -15.4 kJ per mole of atoms



Compound: La2TcSe
Source: Alexandria
Functional: PBEsol
Structure: optimized geometry

Cell: 5.0580 5.0580 3.5950 Å, 90.00 90.00 99.46°
With the nearest neighbours (Å) after each atom.
Positions (direct):
La 0.0000 0.5000 0.0000  4 Se 3.10, 4 Tc 3.10, 2 La 3.27
La 0.5000 0.0000 0.0000  4 Se 3.10, 4 Tc 3.10, 2 La 3.27
Tc 0.0000 0.0000 0.5000  8 La 3.10, 2 Se 3.27
Se 0.5000 0.5000 0.5000  8 La 3.10, 2 Tc 3.27

Properties
SG ... Cmmm (65)
E_form (uncorrected) ... -0.566 eV per atom



Compound: SrGe7N10
Source: Alexandria
Functional: PBEsol
Structure: optimized geometry

Cell: 7.2043 7.1248 10.1672 Å, 90.00 105.65 90.00°
With the nearest neighbours (Å) after each atom.
Positions (direct):
Sr 0.0000 0.0229 0.0000  4 N 2.55-2.82
Sr 0.0000 0.9771 0.5000  4 N 2.55-2.82
Ge 0.0627 0.3727 0.3233  4 N 1.80-1.90
Ge 0.0627 0.6273 0.8233  4 N 1.80-1.90
Ge 0.2483 0.3647 0.6429  4 N 1.81-1.85
Ge 0.2483 0.6353 0.1429  4 N 1.81-1.85
Ge 0.3708 0.0293 0.3104  4 N 1.79-1.90
Ge 0.3708 0.9707 0.8104  4 N 1.79-1.90
Ge 0.4275 0.3695 0.9473  4 N 1.82-1.84
Ge 0.4275 0.6305 0.4473  4 N 1.82-1.84
Ge 0.5667 0.0279 0.6201  4 N 1.77-1.89
Ge 0.5667 0.9721 0.1201  4 N 1.77-1.89
Ge 0.6170 0.3776 0.2520  4 N 1.82-1.84
Ge 0.6170 0.6224 0.7520  4 N 1.82-1.84
Ge 0.8024 0.3934 0.5612  4 N 1.80-1.88
Ge 0.8024 0.6066 0.0612  4 N 1.80-1.88
N 0.0265 0.3717 0.5016  3 Ge 1.84-1.90
N 0.0265 0.6283 0.0016  3 Ge 1.84-1.90
N 0.1430 0.1406 0.2945  2 Ge 1.79-1.80
N 0.1430 0.8594 0.7945  2 Ge 1.79-1.80
N 0.2047 0.4132 0.8111  3 Ge 1.84-1.86
N 0.2047 0.5868 0.3111  3 Ge 1.84-1.86
N 0.3426 0.1266 0.6570  3 Ge 1.82-1.89
N 0.3426 0.8734 0.1570  3 Ge 1.82-1.89
N 0.4150 0.4603 0.1124  3 Ge 1.81-1.83
N 0.4150 0.5397 0.6124  3 Ge 1.81-1.83
N 0.4573 0.1159 0.9652  3 Ge 1.82-1.87
N 0.4573 0.8841 0.4652  3 Ge 1.82-1.87
N 0.5998 0.1247 0.2760  3 Ge 1.83-1.90
N 0.5998 0.8753 0.7760  3 Ge 1.83-1.90
N 0.6289 0.4992 0.9109  3 Ge 1.82-1.86
N 0.6289 0.5008 0.4109  3 Ge 1.82-1.86
N 0.7749 0.1549 0.6113  2 Ge 1.77-1.80
N 0.7749 0.8451 0.1113  2 Ge 1.77-1.80
N 0.8333 0.4156 0.1917  3 Ge 1.84-1.87
N 0.8333 0.5844 0.6917  3 Ge 1.84-1.87

Properties
SG ... Pc (7)
E_form (uncorrected) ... -0.289 eV per atom



Compound: Y2Cr3O12
Source: Alexandria
Functional: PBEsol
Structure: optimized geometry

Cell: 15.8893 15.3835 5.9027 Å, 83.99 74.33 21.68°
With the nearest neighbours (Å) after each atom.
Positions (direct):
Y 0.0448 0.0448 0.7052  8 O 2.22-2.48
Y 0.2948 0.2948 0.9552  8 O 2.22-2.48
Y 0.7052 0.7052 0.0448  8 O 2.22-2.48
Y 0.9552 0.9552 0.2948  8 O 2.22-2.48
Cr 0.1250 0.1250 0.1250  4 O 1.64
Cr 0.2107 0.2107 0.5393  4 O 1.62-1.67
Cr 0.4607 0.4607 0.7893  4 O 1.62-1.67
Cr 0.5393 0.5393 0.2107  4 O 1.62-1.67
Cr 0.7893 0.7893 0.4607  4 O 1.62-1.67
Cr 0.8750 0.8750 0.8750  4 O 1.64
O 0.0373 0.1490 0.4023  1 Cr 1.64
O 0.0707 0.5681 0.3563  1 Cr 1.62
O 0.0887 0.5977 0.8510  1 Cr 1.64
O 0.1490 0.0373 0.9113  1 Cr 1.64
O 0.1619 0.3200 0.7722  1 Cr 1.67
O 0.2278 0.7541 0.8381  1 Cr 1.67
O 0.2459 0.7722 0.3200  1 Cr 1.67
O 0.3200 0.1619 0.2459  1 Cr 1.67
O 0.3563 0.5048 0.0707  1 Cr 1.62
O 0.4023 0.9113 0.0373  1 Cr 1.64
O 0.4319 0.9293 0.4952  1 Cr 1.62
O 0.4952 0.6437 0.4319  1 Cr 1.62
O 0.5048 0.3563 0.5681  1 Cr 1.62
O 0.5681 0.0707 0.5048  1 Cr 1.62
O 0.5977 0.0887 0.9627  1 Cr 1.64
O 0.6437 0.4952 0.9293  1 Cr 1.62
O 0.6800 0.8381 0.7541  1 Cr 1.67
O 0.7541 0.2278 0.6800  1 Cr 1.67
O 0.7722 0.2459 0.1619  1 Cr 1.67
O 0.8381 0.6800 0.2278  1 Cr 1.67
O 0.8510 0.9627 0.0887  1 Cr 1.64
O 0.9113 0.4023 0.1490  1 Cr 1.64
O 0.9293 0.4319 0.6437  1 Cr 1.62
O 0.9627 0.8510 0.5977  1 Cr 1.64

Properties
SG ... Fddd (70)
E_form (uncorrected) ... -2.332 eV per atom
Offset from the most stable computed form ... 0.00 eV per formula unit



Compound: BaGaGe2
Source: Alexandria
Functional: PBEsol
Structure: optimized geometry

Cell: 5.1297 5.1297 5.1297 Å, 60.00 60.00 60.00°
With the nearest neighbours (Å) after each atom.
Positions (direct):
Ba 0.0000 0.0000 0.0000  8 Ge 3.14
Ga 0.5000 0.5000 0.5000  8 Ge 3.14
Ge 0.2500 0.2500 0.2500  4 Ga 3.14, 4 Ba 3.14
Ge 0.7500 0.7500 0.7500  4 Ga 3.14, 4 Ba 3.14

Properties
SG ... Fm-3m (225)
Calculated formation energy ... -1.1 kJ per mole of atoms



no.,theoretical density (g cm⁻³)
1,6.08
2,6.13
3,8.73
4,4.94
5,9.52
6,17.03
7,4.40
8,8.32
9,4.87
10,3.73
11,6.13